Entry from Alexandria via LeMat-Bulk: Rb3TiI after structural relaxation (PBE-GGA).

Calculated values
The offset from the most stable computed form is 0.0 meV/atom.

abc: 6.9940 6.9940 6.9940
angles: 90.00 90.00 90.00
Last column: nearest neighbours and their distance in Å.
Space group Pm-3m (No. 221)
Symmetry-distinct sites (fractional):
Rb  0.0000  0.0000  0.5000 x3  2 I 3.50
Ti  0.5000  0.5000  0.5000 x1  12 Rb 4.95
I  0.0000  0.0000  0.0000 x1  6 Rb 3.50

Entry from Alexandria via LeMat-Bulk: RbTiI4 after structural relaxation (PBE-GGA).

Calculated values
The offset from the most stable computed form is 31.3 meV/atom.

abc: 17.6347 7.8916 7.1433
angles: 90.00 102.90 90.00
Last column: nearest neighbours and their distance in Å.
Space group C2/m (No. 12)
Symmetry-distinct sites (fractional):
Rb  0.2040  0.0000  0.2179 x4  10 I 3.84-4.19
Ti  0.0179  0.5000  0.3185 x4  1 Ti 2.80, 6 I 2.83-2.91
I  0.0000  0.2655  0.0000 x4  2 Ti 2.89
I  0.1006  0.2738  0.5983 x8  2 Ti 2.83-2.91
I  0.1935  0.5000  0.2270 x4  1 Ti 3.31

Entry from Alexandria via LeMat-Bulk: Rb2TiI5 after structural relaxation (PBE-GGA).

abc: 10.4315 8.1306 16.5742
angles: 90.00 90.00 90.00
Last column: nearest neighbours and their distance in Å.
Space group Pnma (No. 62)
Symmetry-distinct sites (fractional):
Rb  0.0615  0.2500  0.1897 x4  8 I 3.77-4.07
Rb  0.1958  0.7500  0.4120 x4  10 I 3.80-4.16
Ti  0.1901  0.7500  0.0562 x4  6 I 2.73-2.99
I  0.0000  0.0000  0.0000 x4  2 Ti 2.99
I  0.0516  0.7500  0.2012 x4  1 Ti 2.80
I  0.1468  0.0047  0.6032 x8  1 Ti 2.73
I  0.2219  0.2500  0.3932 x4  1 Ti 2.85

Entry from Alexandria via LeMat-Bulk: Rb3TiI6 after structural relaxation (PBE-GGA).

Calculated values
The offset from the most stable computed form is 50.7 meV/atom.

abc: 12.5495 12.5495 12.5495
angles: 90.00 90.00 90.00
Last column: nearest neighbours and their distance in Å.
Space group Fm-3m (No. 225)
Symmetry-distinct sites (fractional):
Rb  0.0000  0.0000  0.0000 x4  6 I 3.46
Rb  0.2500  0.2500  0.2500 x8  12 I 4.45
Ti  0.0000  0.0000  0.5000 x4  6 I 2.82
I  0.0000  0.0000  0.2756 x24  1 Ti 2.82

Number 1: E_tot -0.0803 hartree per atom. Number 2: E_tot -0.1250 hartree per atom. Number 3: E_tot -0.1208 hartree per atom. Number 4: E_tot -0.1151 hartree per atom.